This record from Alexandria via LeMat-Bulk describes a geometry-optimized Ce3Ni2P3 structure. The functional is PBE.

Structure (POSCAR):
```
Ce3Ni2P3
1.0
3.994 0.000 0.000
-1.997 5.322 0.000
0.000 0.000 13.809
Ce Ni P
6 4 6
direct
0.929 0.857 0.394
0.071 0.143 0.894
0.929 0.857 0.106
0.071 0.143 0.606
0.637 0.274 0.250
0.363 0.726 0.750
0.774 0.548 0.903
0.226 0.452 0.403
0.774 0.548 0.597
0.226 0.452 0.097
0.641 0.281 0.454
0.359 0.719 0.954
0.641 0.281 0.046
0.359 0.719 0.546
0.342 0.685 0.250
0.658 0.315 0.750
```

Summary:
The value obtained for the theoretical density is 7.14 g cm⁻³. The value obtained for the volume is 293.5 Å³ per cell. The calculation puts the final energy at -6.7924 eV/atom.

---

This record from Alexandria via LeMat-Bulk describes a geometry-optimized Ca12Pd3N5 structure. The functional is PBE.

Structure (POSCAR):
```
Ca12Pd3N5
1.0
13.481 0.000 0.000
-4.494 12.710 0.000
-4.494 -6.355 11.007
Pd N Ca
12 20 48
direct
0.750 0.375 0.125
0.875 0.750 0.125
0.375 0.750 0.625
0.250 0.125 0.375
0.875 0.125 0.250
0.375 0.625 0.250
0.625 0.375 0.750
0.125 0.875 0.750
0.750 0.875 0.625
0.625 0.250 0.375
0.125 0.250 0.875
0.250 0.625 0.875
0.125 0.375 0.250
0.000 0.500 0.000
0.000 0.000 0.000
0.375 0.250 0.125
0.500 0.000 0.500
0.500 0.500 0.000
0.125 0.750 0.375
0.750 0.125 0.875
0.750 0.625 0.375
0.375 0.125 0.750
0.625 0.875 0.250
0.500 0.500 0.500
0.500 0.000 0.000
0.000 0.000 0.500
0.250 0.375 0.625
0.250 0.875 0.125
0.000 0.500 0.500
0.875 0.250 0.625
0.625 0.750 0.875
0.875 0.625 0.750
0.699 0.118 0.018
0.319 0.518 0.400
0.982 0.382 0.301
0.518 0.199 0.118
0.581 0.699 0.681
0.982 0.600 0.181
0.319 0.801 0.419
0.100 0.919 0.118
0.600 0.982 0.681
0.699 0.581 0.181
0.801 0.482 0.382
0.819 0.900 0.018
0.118 0.699 0.518
0.382 0.400 0.081
0.081 0.900 0.382
0.419 0.118 0.600
0.081 0.181 0.199
0.482 0.681 0.100
0.819 0.919 0.301
0.118 0.419 0.100
0.382 0.982 0.801
0.600 0.618 0.419
0.900 0.819 0.518
0.801 0.319 0.919
0.400 0.382 0.581
0.100 0.181 0.482
0.199 0.681 0.081
0.181 0.081 0.699
0.618 0.018 0.199
0.882 0.581 0.900
0.518 0.319 0.900
0.581 0.882 0.400
0.919 0.819 0.801
0.919 0.100 0.618
0.882 0.301 0.482
0.181 0.100 0.982
0.618 0.600 0.919
0.400 0.018 0.319
0.301 0.419 0.819
0.199 0.518 0.618
0.900 0.081 0.882
0.681 0.199 0.581
0.482 0.801 0.882
0.018 0.400 0.819
0.419 0.301 0.319
0.018 0.618 0.699
0.681 0.482 0.600
0.301 0.882 0.982
```

Summary:
The value obtained for the theoretical density is 3.06 g cm⁻³. The value obtained for the volume is 1886.0 Å³ per cell. The calculation puts the final energy at -4.6899 eV/atom. As for the energy relative to the elements, uncorrected: -12.57 eV/f.u.

---

Which of these has the highest volume? Ca12Pd3N5